No. 1
## CsCrSCl2 (PBE)

Data for a geometry-optimized CsCrSCl2 structure.

CIF file:
```
data_CsCrSCl2
_chemical_formula_sum 'Cs1 Cr1 S1 Cl2'
_symmetry_space_group_name_H-M 'P 1'
_symmetry_Int_Tables_number 1
_symmetry_space_group_name_Hall 'P 1'
_cell_length_a 6.192
_cell_length_b 6.192
_cell_length_c 5.579
_cell_angle_alpha 90.00
_cell_angle_beta 90.00
_cell_angle_gamma 90.00
loop_
_atom_site_label
_atom_site_type_symbol
_atom_site_fract_x
_atom_site_fract_y
_atom_site_fract_z
Cs1 Cs 0.000 0.000 0.000
Cr1 Cr 0.500 0.500 0.500
S1 S 0.000 0.000 0.500
Cl1 Cl 0.000 0.500 0.000
Cl2 Cl 0.500 0.000 0.000
```

* raw formation energy: 0.503 eV/atom
* distance to the lowest polymorph of the same formula: 1576 meV per atom
* space group: P4/mmm, No. 123
* ρ: 2.235 g/cm³

No. 2
## CsCrSbCl6 (PBE)

Data for a geometry-optimized CsCrSbCl6 structure.

CIF file:
```
data_CsCrSbCl6
_chemical_formula_sum 'Cs1 Cr1 Sb1 Cl6'
_symmetry_space_group_name_H-M 'P 1'
_symmetry_Int_Tables_number 1
_symmetry_space_group_name_Hall 'P 1'
_cell_length_a 6.891
_cell_length_b 7.041
_cell_length_c 7.667
_cell_angle_alpha 92.99
_cell_angle_beta 91.60
_cell_angle_gamma 59.43
loop_
_atom_site_label
_atom_site_type_symbol
_atom_site_fract_x
_atom_site_fract_y
_atom_site_fract_z
Cs1 Cs 0.034 0.983 0.001
Cr1 Cr 0.677 0.661 0.500
Sb1 Sb 0.347 0.326 0.500
Cl1 Cl 0.959 0.406 0.302
Cl2 Cl 0.393 0.975 0.671
Cl3 Cl 0.621 0.357 0.712
Cl4 Cl 0.960 0.636 0.697
Cl5 Cl 0.391 0.632 0.330
Cl6 Cl 0.618 0.024 0.287
```

* raw formation energy: -1.167 eV/atom
* space group: P1, No. 1
* ρ: 2.697 g/cm³

No. 3
## CsScCrCl6 (PBE)

Data for a geometry-optimized CsScCrCl6 structure.

CIF file:
```
data_CsScCrCl6
_chemical_formula_sum 'Cs1 Sc1 Cr1 Cl6'
_symmetry_space_group_name_H-M 'P 1'
_symmetry_Int_Tables_number 1
_symmetry_space_group_name_Hall 'P 1'
_cell_length_a 6.516
_cell_length_b 6.832
_cell_length_c 7.815
_cell_angle_alpha 93.06
_cell_angle_beta 91.63
_cell_angle_gamma 58.41
loop_
_atom_site_label
_atom_site_type_symbol
_atom_site_fract_x
_atom_site_fract_y
_atom_site_fract_z
Cs1 Cs 0.036 0.982 0.000
Sc1 Sc 0.349 0.326 0.500
Cr1 Cr 0.671 0.664 0.500
Cl1 Cl 0.988 0.389 0.316
Cl2 Cl 0.372 0.000 0.664
Cl3 Cl 0.613 0.363 0.707
Cl4 Cl 0.989 0.623 0.684
Cl5 Cl 0.371 0.629 0.336
Cl6 Cl 0.612 0.025 0.292
```

* raw formation energy: -1.726 eV/atom
* space group: C2, No. 5
* ρ: 2.484 g/cm³

No. 4
## Cs2ScCrCl6 (PBE)

Data for a geometry-optimized Cs2ScCrCl6 structure.

CIF file:
```
data_Cs2ScCrCl6
_chemical_formula_sum 'Cs2 Sc1 Cr1 Cl6'
_symmetry_space_group_name_H-M 'P 1'
_symmetry_Int_Tables_number 1
_symmetry_space_group_name_Hall 'P 1'
_cell_length_a 7.378
_cell_length_b 7.378
_cell_length_c 7.379
_cell_angle_alpha 60.01
_cell_angle_beta 60.01
_cell_angle_gamma 90.00
loop_
_atom_site_label
_atom_site_type_symbol
_atom_site_fract_x
_atom_site_fract_y
_atom_site_fract_z
Cs1 Cs 0.750 0.250 0.500
Cs2 Cs 0.250 0.750 0.500
Cr1 Cr 0.000 0.000 0.000
Sc1 Sc 0.500 0.500 0.000
Cl1 Cl 0.257 0.257 0.487
Cl2 Cl 0.743 0.743 0.513
Cl3 Cl 0.256 0.256 0.000
Cl4 Cl 0.744 0.744 0.000
Cl5 Cl 0.744 0.256 0.000
Cl6 Cl 0.256 0.744 0.000
```

* raw formation energy: -1.718 eV/atom
* space group: Fm-3m, No. 225
* ρ: 3.364 g/cm³

| no. | total magnetization (μB/cell) | DFT total energy (eV/atom) |
| --- | --- | --- |
| 1 | 4.01 | -3.157 |
| 2 | 4.00 | -4.021 |
| 3 | 4.00 | -4.824 |
| 4 | 5.00 | -4.592 |